[1]
A relaxed MnIrI2N crystal, computed with PBE.

ΔE to the lowest computed polymorph in meV per atom: 0
DFT total energy in eV per atom: -5.31
ΔE_f (raw) in meV/atom: 577

```
data_MnIrI2N
_cell_length_a 5.6832
_cell_length_b 5.6832
_cell_length_c 3.7088
_cell_angle_alpha 90.00
_cell_angle_beta 90.00
_cell_angle_gamma 90.00
_symmetry_space_group_name_H-M 'P 1'
_symmetry_Int_Tables_number 1
_symmetry_space_group_name_Hall 'P 1'
loop_
_atom_site_label
_atom_site_type_symbol
_atom_site_fract_x
_atom_site_fract_y
_atom_site_fract_z
I1 I 0.0000 0.5000 0.0000
I2 I 0.5000 0.0000 0.0000
Ir1 Ir 0.0000 0.0000 0.0000
Mn1 Mn 0.5000 0.5000 0.5000
N1 N 0.0000 0.0000 0.5000
```

---

[2]
A relaxed PuCd2Ag3 crystal, computed with PBE.

DFT total energy in eV per atom: -4.14
Formation enthalpy at 0 K in eV per atom: -0.02

```
data_PuCd2Ag3
_cell_length_a 3.1394
_cell_length_b 3.1394
_cell_length_c 12.5137
_cell_angle_alpha 90.00
_cell_angle_beta 90.00
_cell_angle_gamma 90.00
_symmetry_space_group_name_H-M 'P 1'
_symmetry_Int_Tables_number 1
_symmetry_space_group_name_Hall 'P 1'
loop_
_atom_site_label
_atom_site_type_symbol
_atom_site_fract_x
_atom_site_fract_y
_atom_site_fract_z
Pu1 Pu 0.5000 0.5000 0.5000
Cd1 Cd 0.5000 0.5000 0.8418
Cd2 Cd 0.5000 0.5000 0.1582
Ag1 Ag 0.0000 0.0000 0.0000
Ag2 Ag 0.0000 0.0000 0.6871
Ag3 Ag 0.0000 0.0000 0.3129
```

---

[3]
A relaxed CeHoEr crystal, computed with PBE.

ΔE to the lowest computed polymorph in meV per atom: 114
DFT total energy in eV per atom: -4.85
Formation enthalpy at 0 K in eV per atom: 0.18

```
data_CeHoEr
_cell_length_a 3.4238
_cell_length_b 3.4238
_cell_length_c 16.0557
_cell_angle_alpha 96.12
_cell_angle_beta 96.12
_cell_angle_gamma 90.00
_symmetry_space_group_name_H-M 'P 1'
_symmetry_Int_Tables_number 1
_symmetry_space_group_name_Hall 'P 1'
loop_
_atom_site_label
_atom_site_type_symbol
_atom_site_fract_x
_atom_site_fract_y
_atom_site_fract_z
Er1 Er 0.0540 0.0540 0.1080
Er2 Er 0.9460 0.9460 0.8920
Ce1 Ce 0.6300 0.6300 0.2600
Ce2 Ce 0.3700 0.3700 0.7400
Ho1 Ho 0.7916 0.7916 0.5832
Ho2 Ho 0.2084 0.2084 0.4168
```

---

[4]
A relaxed KCo2Ir crystal, computed with PBE.

ΔE to the lowest computed polymorph in meV per atom: 624
DFT total energy in eV per atom: -4.84
Formation enthalpy at 0 K in eV per atom: 1.20

```
data_KCo2Ir
_cell_length_a 2.5953
_cell_length_b 5.2377
_cell_length_c 4.8382
_cell_angle_alpha 90.00
_cell_angle_beta 90.00
_cell_angle_gamma 90.00
_symmetry_space_group_name_H-M 'P 1'
_symmetry_Int_Tables_number 1
_symmetry_space_group_name_Hall 'P 1'
loop_
_atom_site_label
_atom_site_type_symbol
_atom_site_fract_x
_atom_site_fract_y
_atom_site_fract_z
Co1 Co 0.0000 0.0000 0.0000
Co2 Co 0.5000 0.5000 0.0000
Ir1 Ir 0.5000 0.0000 0.5000
K1 K 0.0000 0.5000 0.5000
```

---

[5]
A relaxed Cs2AgF2 crystal, computed with PBE.

ΔE to the lowest computed polymorph in meV per atom: 0
DFT total energy in eV per atom: -3.30
ΔE_f (raw) in meV/atom: -1636

```
data_Cs2AgF2
_cell_length_a 8.4931
_cell_length_b 8.4931
_cell_length_c 3.7264
_cell_angle_alpha 90.00
_cell_angle_beta 90.00
_cell_angle_gamma 90.00
_symmetry_space_group_name_H-M 'P 1'
_symmetry_Int_Tables_number 1
_symmetry_space_group_name_Hall 'P 1'
loop_
_atom_site_label
_atom_site_type_symbol
_atom_site_fract_x
_atom_site_fract_y
_atom_site_fract_z
Cs1 Cs 0.1530 0.6530 0.5000
Cs2 Cs 0.6530 0.8470 0.5000
Cs3 Cs 0.8470 0.3470 0.5000
Cs4 Cs 0.3470 0.1530 0.5000
Ag1 Ag 0.0000 0.0000 0.0000
Ag2 Ag 0.5000 0.5000 0.0000
F1 F 0.3485 0.8485 0.0000
F2 F 0.8485 0.6515 0.0000
F3 F 0.6515 0.1515 0.0000
F4 F 0.1515 0.3485 0.0000
```

---

[6]
A relaxed Li2CoSn crystal, computed with PBE.

DFT total energy in eV per atom: -3.62
Formation enthalpy at 0 K in eV per atom: 0.12

```
data_Li2CoSn
_cell_length_a 3.6609
_cell_length_b 3.6609
_cell_length_c 10.0494
_cell_angle_alpha 79.51
_cell_angle_beta 79.51
_cell_angle_gamma 90.00
_symmetry_space_group_name_H-M 'P 1'
_symmetry_Int_Tables_number 1
_symmetry_space_group_name_Hall 'P 1'
loop_
_atom_site_label
_atom_site_type_symbol
_atom_site_fract_x
_atom_site_fract_y
_atom_site_fract_z
Co1 Co 0.5000 0.5000 0.0000
Co2 Co 0.2500 0.7500 0.5000
Sn1 Sn 0.0000 0.0000 0.0000
Sn2 Sn 0.7500 0.2500 0.5000
Li1 Li 0.6068 0.1250 0.2500
Li2 Li 0.1432 0.6250 0.2500
Li3 Li 0.3750 0.3932 0.7500
Li4 Li 0.8750 0.8568 0.7500
```